(w)
{"formula": "TaBe2Pt2", "functional": "PBE", "state": "relaxed", "lattice": [[3.974, -3.582, 0.194], [0.982, -2.445, 4.660], [-4.243, 1.019, -3.101]], "species": ["Be", "Be", "Pt", "Pt", "Ta"], "fractional_positions": [[0.750, 0.250, 0.500], [0.250, 0.750, 0.500], [0.364, 0.364, 0.000], [0.636, 0.636, 0.000], [0.000, 0.000, 0.000]], "crystal_system": "tetragonal", "spacegroup": "I4/mmm (139)", "density_kg_m3": 14101, "vol_a3_per_atom": 13.88}

***

(x)
{"formula": "TaBe2Pt2", "functional": "PBE", "state": "relaxed", "lattice": [[6.932, 0.000, 0.000], [0.000, 6.932, 0.000], [0.000, 0.000, 2.711]], "species": ["Be", "Be", "Be", "Be", "Pt", "Pt", "Pt", "Pt", "Ta", "Ta"], "fractional_positions": [[0.618, 0.118, 0.000], [0.118, 0.382, 0.000], [0.882, 0.618, 0.000], [0.382, 0.882, 0.000], [0.325, 0.175, 0.500], [0.825, 0.325, 0.500], [0.175, 0.675, 0.500], [0.675, 0.825, 0.500], [0.000, 0.000, 0.000], [0.500, 0.500, 0.000]], "crystal_system": "tetragonal", "spacegroup": "P4/mbm (127)", "density_kg_m3": 15019, "vol_a3_per_atom": 13.03}

***

Relative stability in meV/atom, measured from the most stable structure: (w) 347; (x) 0

***

(w)
{"formula": "TaBePt", "functional": "PBE", "state": "relaxed", "lattice": [[6.371, 0.000, 0.000], [0.000, 3.552, 0.000], [0.000, 0.000, 7.251]], "species": ["Be", "Be", "Be", "Be", "Pt", "Pt", "Pt", "Pt", "Ta", "Ta", "Ta", "Ta"], "fractional_positions": [[0.772, 0.750, 0.126], [0.272, 0.750, 0.374], [0.728, 0.250, 0.626], [0.228, 0.250, 0.874], [0.152, 0.750, 0.069], [0.652, 0.750, 0.431], [0.348, 0.250, 0.569], [0.848, 0.250, 0.931], [0.479, 0.250, 0.169], [0.979, 0.250, 0.331], [0.021, 0.750, 0.669], [0.521, 0.750, 0.831]], "crystal_system": "orthorhombic", "spacegroup": "Pnma (62)", "density_kg_m3": 15584, "vol_a3_per_atom": 13.68}

***

(x)
{"formula": "TaBePt", "functional": "PBE", "state": "relaxed", "lattice": [[3.425, -1.840, 1.586], [2.914, 2.312, 1.948], [0.485, -0.303, 4.160]], "species": ["Be", "Pt", "Ta"], "fractional_positions": [[0.250, 0.250, 0.250], [0.750, 0.750, 0.750], [0.000, 0.000, 0.000]], "crystal_system": "cubic", "spacegroup": "F-43m (216)", "density_kg_m3": 12217, "vol_a3_per_atom": 17.45}

***

(y)
{"formula": "TaBePt", "functional": "PBE", "state": "relaxed", "lattice": [[0.000, 2.945, 2.945], [2.945, 0.000, 2.945], [2.945, 2.945, 0.000]], "species": ["Be", "Pt", "Ta"], "fractional_positions": [[0.250, 0.250, 0.250], [0.000, 0.000, 0.000], [0.750, 0.750, 0.750]], "crystal_system": "cubic", "spacegroup": "F-43m (216)", "density_kg_m3": 12510, "vol_a3_per_atom": 17.04}

***

Relative stability in meV/atom, measured from the most stable structure: (w) 0; (x) 914; (y) 451